#one
ZnCS3 GGA-PBE optimized geometry; crystal system = cubic
1.0
4.597 0.000 0.000
0.000 4.597 0.000
0.000 0.000 4.597
C Zn S
1 1 3
Direct
0.500 0.500 0.500
0.000 0.000 0.000
0.000 0.500 0.000
0.000 0.000 0.500
0.500 0.000 0.000

=====

#two
ZnCS3 GGA-PBE optimized geometry; crystal system = cubic
1.0
4.149 0.000 0.000
0.000 4.149 0.000
0.000 0.000 4.149
C Zn S
1 1 3
Direct
0.000 0.000 0.000
0.500 0.500 0.500
0.000 0.500 0.000
0.000 0.000 0.500
0.500 0.000 0.000

=====

Stability check: which of them is most stable? #two.

=====

#one
ZrC2S GGA-PBE optimized geometry; crystal system = tetragonal
1.0
5.195 0.000 0.000
0.000 5.195 0.000
2.598 2.598 3.558
S C Zr
2 4 2
Direct
0.500 0.500 0.000
0.250 0.750 0.500
0.537 0.125 0.250
0.213 0.625 0.250
0.375 0.463 0.750
0.875 0.787 0.750
0.000 0.000 0.000
0.750 0.250 0.500

=====

#two
ZrC2S GGA-PBE optimized geometry; crystal system = cubic
1.0
0.463 0.627 4.008
-2.888 1.976 2.104
-2.332 -2.030 2.667
S C Zr
1 2 1
Direct
0.000 0.000 0.000
0.250 0.250 0.250
0.750 0.750 0.750
0.500 0.500 0.500

=====

Stability check: which of them is most stable? #one.

=====

#one
ZrC3S GGA-PBE optimized geometry; crystal system = cubic
1.0
4.391 0.000 0.000
0.000 4.391 0.000
0.000 0.000 4.391
S C Zr
1 3 1
Direct
0.500 0.500 0.500
0.000 0.500 0.000
0.000 0.000 0.500
0.500 0.000 0.000
0.000 0.000 0.000

=====

#two
ZrC3S GGA-PBE optimized geometry; crystal system = cubic
1.0
3.694 0.000 0.000
0.000 3.694 0.000
0.000 0.000 3.694
S C Zr
1 3 1
Direct
0.000 0.000 0.000
0.000 0.500 0.000
0.000 0.000 0.500
0.500 0.000 0.000
0.500 0.500 0.500

=====

Stability check: which of them is most stable? #two.

=====

#one
Zr3CS GGA-PBE optimized geometry; crystal system = cubic
1.0
-1.694 1.150 -4.027
3.847 -1.290 -1.987
-1.656 -4.175 -0.496
S C Zr
1 1 3
Direct
0.500 0.500 0.500
0.000 0.000 0.000
0.000 0.500 0.000
0.000 0.000 0.500
0.500 0.000 0.000

=====

#two
Zr3CS GGA-PBE optimized geometry; crystal system = orthorhombic
1.0
-2.165 2.224 1.092
-4.728 -1.292 -6.738
-3.163 -4.601 3.101
Zr C S
6 2 2
Direct
0.750 0.810 0.980
0.250 0.190 0.020
0.750 0.810 0.520
0.250 0.190 0.480
0.250 0.520 0.250
0.750 0.480 0.750
0.750 0.327 0.250
0.250 0.673 0.750
0.250 0.932 0.250
0.750 0.068 0.750

=====

Stability check: which of them is most stable? #two.

=====

#one
ZrCS3 GGA-PBE optimized geometry; crystal system = cubic
1.0
-3.571 0.093 -2.121
-2.122 -0.241 3.563
-0.043 4.146 0.255
S C Zr
3 1 1
Direct
0.000 0.500 0.000
0.000 0.000 0.500
0.500 0.000 0.000
0.000 0.000 0.000
0.500 0.500 0.500

=====

#two
ZrCS3 GGA-PBE optimized geometry; crystal system = cubic
1.0
4.962 0.000 0.000
0.000 4.962 0.000
0.000 0.000 4.962
S C Zr
3 1 1
Direct
0.000 0.500 0.000
0.000 0.000 0.500
0.500 0.000 0.000
0.500 0.500 0.500
0.000 0.000 0.000

=====

Stability check: which of them is most stable? #one.

=====

#one
Sb2C GGA-PBE optimized geometry; crystal system = hexagonal
1.0
7.643 0.000 0.000
-3.822 6.619 0.000
0.000 0.000 9.540
Sb C
8 4
Direct
0.000 0.000 0.000
0.000 0.000 0.500
0.857 0.714 0.250
0.143 0.286 0.750
0.286 0.143 0.250
0.857 0.143 0.250
0.143 0.857 0.750
0.714 0.857 0.750
0.333 0.667 0.818
0.667 0.333 0.318
0.667 0.333 0.182
0.333 0.667 0.682

=====

#two
Sb2C GGA-PBE optimized geometry; crystal system = orthorhombic
1.0
-4.450 1.327 -5.449
2.634 -3.924 5.379
-4.062 2.733 3.983
Sb C
4 2
Direct
0.497 0.503 0.250
0.503 0.497 0.750
0.725 0.275 0.250
0.275 0.725 0.750
0.110 0.890 0.250
0.890 0.110 0.750

=====

Stability check: which of them is most stable? #two.

=====

#one
Sb2C GGA-PBE optimized geometry; crystal system = monoclinic
1.0
-4.849 1.532 -4.240
-4.721 -1.668 -4.333
-6.943 -0.366 3.049
Sb C
4 2
Direct
0.106 0.106 0.659
0.843 0.843 0.774
0.157 0.157 0.226
0.894 0.894 0.341
0.471 0.471 0.750
0.529 0.529 0.250

=====

#two
Sb2C GGA-PBE optimized geometry; crystal system = cubic
1.0
4.483 0.000 0.000
2.241 3.882 0.000
2.241 1.294 3.660
Sb C
2 1
Direct
0.250 0.250 0.250
0.750 0.750 0.750
0.000 0.000 0.000

=====

#three
Sb2C GGA-PBE optimized geometry; crystal system = orthorhombic
1.0
1.677 -6.912 0.000
1.677 6.912 0.000
0.000 0.000 5.167
Sb C
4 2
Direct
0.184 0.816 0.750
0.431 0.569 0.750
0.569 0.431 0.250
0.816 0.184 0.250
0.804 0.196 0.750
0.196 0.804 0.250

=====

#four
Sb2C GGA-PBE optimized geometry; crystal system = hexagonal
1.0
-3.076 0.188 -3.979
-1.887 -0.744 4.606
-0.288 2.988 0.364
Sb C
2 1
Direct
0.333 0.667 0.500
0.667 0.333 0.500
0.000 0.000 0.000

=====

Stability check: which of them is most stable? #three.

=====

#one
Sb2C GGA-PBE optimized geometry; crystal system = trigonal
1.0
6.712 0.024 0.015
5.891 3.219 0.015
5.891 1.516 2.839
Sb C
2 1
Direct
0.256 0.256 0.256
0.744 0.744 0.744
0.000 0.000 0.000

=====

#two
Sb2C GGA-PBE optimized geometry; crystal system = tetragonal
1.0
-3.405 2.540 -1.857
-2.080 0.236 4.137
2.937 4.815 1.202
Sb C
4 2
Direct
0.000 0.000 0.000
0.500 0.500 0.000
0.500 0.000 0.508
0.000 0.500 0.492
0.500 0.000 0.891
0.000 0.500 0.109

=====

Stability check: which of them is most stable? #one.